# 1
First-principles (PBE-GGA) data for crystalline K3Ca2HfO6 at its relaxed geometry, as listed in Alexandria.

a b c (Å): 5.9734 5.9734 6.4936
angles (deg): 98.85 98.85 119.97
Atoms (fractional coordinates):
K1 0.0000 0.0000 0.0000
K2 0.3310 0.6690 0.0000
K3 0.6690 0.3310 0.0000
Ca1 0.1666 0.8334 0.5000
Ca2 0.8334 0.1666 0.5000
Hf1 0.5000 0.5000 0.5000
O1 0.1382 0.4377 0.3134
O2 0.2632 0.2632 0.6865
O3 0.4377 0.1382 0.3134
O4 0.5623 0.8618 0.6866
O5 0.7368 0.7368 0.3135
O6 0.8618 0.5623 0.6866

Output
SG ... C2/m, No. 12
Volume ... 15.92 A^3/atom
E_form (uncorrected) ... -2.389 eV per atom

---

# 2
First-principles (PBE-GGA) data for crystalline KCaHfSbO6 at its relaxed geometry, as listed in Alexandria.

a b c (Å): 5.7357 5.7357 5.7357
angles (deg): 60.00 60.00 60.00
Atoms (fractional coordinates):
K1 0.0000 0.0000 0.0000
Ca1 0.5000 0.5000 0.5000
Hf1 0.2500 0.2500 0.2500
Sb1 0.7500 0.7500 0.7500
O1 0.5044 0.5044 0.9956
O2 0.5044 0.9956 0.5044
O3 0.5044 0.9956 0.9956
O4 0.9956 0.5044 0.5044
O5 0.9956 0.5044 0.9956
O6 0.9956 0.9956 0.5044

Output
SG ... F-43m, No. 216
Volume ... 13.34 A^3/atom
E_form (uncorrected) ... -2.458 eV per atom